Record 1
A plane-wave DFT calculation with GGA-PBE was carried out for an optimized crystal structure of LiPm2ErS4.

Summary:
space-group type: P2/m, No. 10

The structure in CIF format:
```
data_LiPm2ErS4
_chemical_formula_sum 'Li1 Pm2 Er1 S4'
_space_group_name_H-M_alt 'P 1'
_space_group_IT_number 1
_cell_length_a 6.795
_cell_length_b 3.940
_cell_length_c 6.834
_cell_angle_alpha 90.00
_cell_angle_beta 109.39
_cell_angle_gamma 90.00
loop_
_space_group_symop_operation_xyz
'x,y,z'
loop_
_atom_site_label
_atom_site_fract_x
_atom_site_fract_y
_atom_site_fract_z
Li1 0.000 0.000 0.000
Pm1 0.000 0.500 0.500
Pm2 0.500 0.000 0.500
Er1 0.500 0.500 0.000
S1 0.244 0.500 0.234
S2 0.252 0.000 0.767
S3 0.748 0.000 0.233
S4 0.756 0.500 0.766
```

Record 2
A plane-wave DFT calculation with GGA-PBE was carried out for an optimized crystal structure of ZrTl4In.

Summary:
ΔE_f: 2.412 eV per formula unit
space-group type: F-43m, No. 216

The structure in CIF format:
```
data_ZrTl4In
_chemical_formula_sum 'Zr1 Tl4 In1'
_space_group_name_H-M_alt 'P 1'
_space_group_IT_number 1
_cell_length_a 6.194
_cell_length_b 6.194
_cell_length_c 6.194
_cell_angle_alpha 60.00
_cell_angle_beta 60.00
_cell_angle_gamma 60.00
loop_
_space_group_symop_operation_xyz
'x,y,z'
loop_
_atom_site_label
_atom_site_fract_x
_atom_site_fract_y
_atom_site_fract_z
Zr1 0.000 0.000 0.000
Tl1 0.375 0.375 0.375
Tl2 0.375 0.375 0.876
Tl3 0.375 0.876 0.375
Tl4 0.876 0.375 0.375
In1 0.750 0.750 0.750
```

Record 3
A plane-wave DFT calculation with GGA-PBE was carried out for an optimized crystal structure of Be2GaCu2.

Summary:
ΔE_f: 0.354 eV per formula unit
space-group type: P4/mbm, No. 127

The structure in CIF format:
```
data_Be2GaCu2
_chemical_formula_sum 'Be4 Ga2 Cu4'
_space_group_name_H-M_alt 'P 1'
_space_group_IT_number 1
_cell_length_a 6.601
_cell_length_b 6.601
_cell_length_c 2.627
_cell_angle_alpha 90.00
_cell_angle_beta 90.00
_cell_angle_gamma 90.00
loop_
_space_group_symop_operation_xyz
'x,y,z'
loop_
_atom_site_label
_atom_site_fract_x
_atom_site_fract_y
_atom_site_fract_z
Be1 0.159 0.341 0.000
Be2 0.341 0.841 0.000
Be3 0.659 0.159 0.000
Be4 0.841 0.659 0.000
Ga1 0.000 0.000 0.500
Ga2 0.500 0.500 0.500
Cu1 0.136 0.636 0.500
Cu2 0.364 0.136 0.500
Cu3 0.636 0.864 0.500
Cu4 0.864 0.364 0.500
```

Record 4
A plane-wave DFT calculation with GGA-PBE was carried out for an optimized crystal structure of CuAsCl2.

Summary:
space-group type: Cmmm, No. 65

The structure in CIF format:
```
data_CuAsCl2
_chemical_formula_sum 'Cu1 As1 Cl2'
_space_group_name_H-M_alt 'P 1'
_space_group_IT_number 1
_cell_length_a 4.888
_cell_length_b 4.888
_cell_length_c 3.122
_cell_angle_alpha 90.00
_cell_angle_beta 90.00
_cell_angle_gamma 90.07
loop_
_space_group_symop_operation_xyz
'x,y,z'
loop_
_atom_site_label
_atom_site_fract_x
_atom_site_fract_y
_atom_site_fract_z
Cu1 0.000 0.000 0.000
As1 0.500 0.500 0.000
Cl1 0.000 0.500 0.500
Cl2 0.500 0.000 0.500
```

Record 5
A plane-wave DFT calculation with GGA-PBE was carried out for an optimized crystal structure of Na2CdTeF.

Summary:
space-group type: P4/mmm, No. 123

The structure in CIF format:
```
data_Na2CdTeF
_chemical_formula_sum 'Na2 Cd1 Te1 F1'
_space_group_name_H-M_alt 'P 1'
_space_group_IT_number 1
_cell_length_a 4.648
_cell_length_b 4.648
_cell_length_c 5.250
_cell_angle_alpha 90.00
_cell_angle_beta 90.00
_cell_angle_gamma 90.00
loop_
_space_group_symop_operation_xyz
'x,y,z'
loop_
_atom_site_label
_atom_site_fract_x
_atom_site_fract_y
_atom_site_fract_z
Na1 0.000 0.500 0.000
Na2 0.500 0.000 0.000
Cd1 0.000 0.000 0.500
Te1 0.500 0.500 0.500
F1 0.000 0.000 0.000
```

Record 6
A plane-wave DFT calculation with GGA-PBE was carried out for an optimized crystal structure of Na2HfHgSe4.

Summary:
space-group type: P2/m, No. 10

The structure in CIF format:
```
data_Na2HfHgSe4
_chemical_formula_sum 'Na2 Hf1 Hg1 Se4'
_space_group_name_H-M_alt 'P 1'
_space_group_IT_number 1
_cell_length_a 7.366
_cell_length_b 3.966
_cell_length_c 7.379
_cell_angle_alpha 90.00
_cell_angle_beta 111.62
_cell_angle_gamma 90.00
loop_
_space_group_symop_operation_xyz
'x,y,z'
loop_
_atom_site_label
_atom_site_fract_x
_atom_site_fract_y
_atom_site_fract_z
Na1 0.000 0.000 0.000
Na2 0.500 0.500 0.000
Hf1 0.000 0.500 0.500
Hg1 0.500 0.000 0.500
Se1 0.211 0.000 0.734
Se2 0.242 0.500 0.296
Se3 0.758 0.500 0.704
Se4 0.789 0.000 0.266
```

| no. | VASP energy (eV/atom) |
| --- | --- |
| 1 | -5.987 |
| 2 | -3.057 |
| 3 | -3.664 |
| 4 | -2.710 |
| 5 | -2.960 |
| 6 | -4.306 |